# NaH6CN2ClO2

A relaxed structure of NaH6CN2ClO2 (PBEsol, Alexandria via LeMat-Bulk).

a = 17.3731 Å, b = 6.5186 Å, c = 4.9902 Å
α = 90.00°, β = 90.00°, γ = 90.00°
Space group Pmn2_1 (No. 31)
Asymmetric unit:
Na: 0.0000 0.0137 0.0000 x2
Na: 0.0000 0.4849 0.0071 x2
H: 0.0437 0.2454 0.4868 x4
H: 0.0447 0.7445 0.5663 x4
H: 0.1679 0.0102 0.5105 x4
H: 0.1786 0.4856 0.0422 x4
H: 0.2358 0.6389 0.4329 x4
H: 0.2423 0.8828 0.1039 x4
C: 0.1622 0.2448 0.7850 x4
N: 0.1992 0.1086 0.6283 x4
N: 0.2054 0.3716 0.9355 x4
Cl: 0.1198 0.7567 0.2368 x4
O: 0.0000 0.2465 0.3560 x2
O: 0.0000 0.7457 0.6909 x2
O: 0.0891 0.2529 0.7923 x4

Computed properties:
- Raw total energy: -5.53 eV per atom
- Size of the total moment: 0.000 μB/f.u.



# Sc2CrRh

A relaxed structure of Sc2CrRh (PBEsol, Alexandria via LeMat-Bulk).

a = 2.9696 Å, b = 4.2747 Å, c = 5.3759 Å
α = 90.00°, β = 90.00°, γ = 90.00°
Space group Pmm2 (No. 25)
Asymmetric unit:
Sc: 0.0000 0.0000 0.0000 x1
Sc: 0.5000 0.5000 0.3290 x1
Cr: 0.0000 0.0000 0.5268 x1
Rh: 0.5000 0.5000 0.8145 x1

Computed properties:
- Raw total energy: -7.92 eV per atom
- E above lowest polymorph: 0.0000 eV/atom
- ΔE_f: -27 meV per atom
- Size of the total moment: 3.038 μB/f.u.



Among the records above, which one has the highest raw total energy? NaH6CN2ClO2